The following is a GGA-PBE calculation of crystalline AcAl3Ir2 at its relaxed geometry, from the Alexandria database.

Energy above the lowest structure with this stoichiometry ... 26 meV/atom
SG ... C2/m
Final energy ... -37.66 eV/f.u.

Lattice parameters (Å, degrees): 4.184 8.188 7.894 114.14 90.00 104.81
Fractional positions:
Al  0.682  0.365  0.445
Ir  0.816  0.632  0.344
Al  0.318  0.635  0.555
Ac  0.847  0.693  0.929
Al  0.037  0.074  0.363
Al  0.963  0.926  0.637
Ir  0.184  0.368  0.656
Ac  0.153  0.307  0.071
Al  0.405  0.811  0.327
Ir  0.516  0.033  0.176
Ir  0.484  0.967  0.824
Al  0.595  0.189  0.673